The following is a DFT calculation (GGA-PBE) of RbHfOs after structural relaxation.

Lattice parameters (Å, degrees): 4.6402 4.6402 4.6402 60.00 60.00 60.00
Positions (direct):
Rb1 0.0000 0.0000 0.0000
Hf1 0.7500 0.7500 0.7500
Os1 0.2500 0.2500 0.2500

Summary:
Excess energy over the best structure of this formula in the dataset = 1354 meV per atom
Energy = -4.6819 eV per atom
Calculated density = 10.7 g cm⁻³